# KAuI3

KAuI3 after structural relaxation (PBE, Alexandria).

The calculation puts the formation energy (no corrections) at -0.55 eV per atom. For the magnetization, the calculation gives 0.000 μB/atom.

The space group is P2_1/m (No. 11) and the conventional cell measures 7.3081, 7.9039 and 8.2977 Å, with angles of 90.00, 115.77 and 90.00 degrees. The distinct sites, in fractional coordinates, are K at (0.2181, 0.2500, 0.4326), Au at (0.0364, 0.7500, 0.0723), I at (0.2373, 0.7500, 0.4762) and I at (0.2602, 0.0004, 0.9992).